Entry 1:
Material: La2ZnInN
Method: DFT, GGA-PBE
State: relaxed

Lattice parameters (Å, degrees): 5.122 5.122 4.464 90.00 90.00 90.00
Fractional coordinates of all 5 atoms:
N  0.000  0.000  0.000
Zn  0.000  0.000  0.500
In  0.500  0.500  0.500
La  0.000  0.500  0.000
La  0.500  0.000  0.000

Summary:
The calculation puts the calculated total energy at -25.17 eV/cell. The value obtained for the formation energy from raw total energies is -595 meV/atom.

Entry 2:
Material: Hf2ScNb
Method: DFT, GGA-PBE
State: relaxed

Lattice parameters (Å, degrees): 3.504 3.504 7.090 90.00 90.00 90.00
Fractional coordinates of all 4 atoms:
Sc  0.500  0.500  0.500
Nb  0.500  0.500  0.000
Hf  0.000  0.000  0.783
Hf  0.000  0.000  0.217

Summary:
The excess energy over the best structure of this formula in the dataset is 0.000 eV per atom. The calculation puts the calculated total energy at -35.93 eV/cell. The calculation puts the calculated formation energy at 0.093 eV per atom.

Entry 3:
Material: UZnCo2H8
Method: DFT, GGA-PBE
State: relaxed

Lattice parameters (Å, degrees): 4.469 4.469 6.185 90.00 90.00 120.00
Site moments in Bohr magnetons follow the coordinates.
Fractional coordinates of all 12 atoms:
U  0.000  0.000  0.500  -1.29
Zn  0.000  0.000  0.000  0.01
Co  0.333  0.667  0.633  0.22
Co  0.667  0.333  0.367  0.22
H  0.170  0.341  0.799  0.00
H  0.170  0.830  0.799  0.00
H  0.659  0.830  0.799  0.00
H  0.341  0.170  0.201  0.00
H  0.667  0.333  0.619  0.01
H  0.333  0.667  0.381  0.01
H  0.830  0.659  0.201  0.00
H  0.830  0.170  0.201  0.00

Summary:
The calculation puts the calculated total energy at -52.59 eV/cell.